[1]
# Rb2CaTa (GGA-PBE, relaxed)
data_Rb2CaTa
_cell_length_a 5.000
_cell_length_b 5.000
_cell_length_c 14.374
_cell_angle_alpha 79.98
_cell_angle_beta 79.98
_cell_angle_gamma 90.00
_symmetry_space_group_name_H-M 'P 1'
_symmetry_Int_Tables_number 1
_symmetry_space_group_name_Hall 'P 1'
loop_
_atom_site_label
_atom_site_fract_x
_atom_site_fract_y
_atom_site_fract_z
Rb1 0.636 0.125 0.250
Ta1 0.750 0.250 0.500
Rb2 0.114 0.625 0.250
Ta2 0.000 0.000 0.000
Ca1 0.500 0.500 0.000
Rb3 0.375 0.364 0.750
Rb4 0.875 0.886 0.750
Ca2 0.250 0.750 0.500
# Fermi-level density of states	4.46	states/eV/f.u.
# relative energy among the computed polymorphs	0	meV per atom
# calculated volume	348.3	Å³ per cell
# DFT formation energy	1.45	eV per atom

***

[2]
# Rb3CaTa (GGA-PBE, relaxed)
data_Rb3CaTa
_cell_length_a 7.046
_cell_length_b 7.046
_cell_length_c 7.046
_cell_angle_alpha 90.00
_cell_angle_beta 90.00
_cell_angle_gamma 90.00
_symmetry_space_group_name_H-M 'P 1'
_symmetry_Int_Tables_number 1
_symmetry_space_group_name_Hall 'P 1'
loop_
_atom_site_label
_atom_site_fract_x
_atom_site_fract_y
_atom_site_fract_z
Rb1 0.000 0.500 0.000
Ca1 0.500 0.500 0.500
Ta1 0.000 0.000 0.000
Rb2 0.000 0.000 0.500
Rb3 0.500 0.000 0.000
# Fermi-level density of states	9.07	states/eV/f.u.
# relative energy among the computed polymorphs	0	meV per atom
# calculated volume	349.9	Å³ per cell
# DFT formation energy	1.41	eV per atom

***

[3]
# RbCa2Ta (GGA-PBE, relaxed)
data_RbCa2Ta
_cell_length_a 5.295
_cell_length_b 5.295
_cell_length_c 12.359
_cell_angle_alpha 77.63
_cell_angle_beta 77.63
_cell_angle_gamma 90.00
_symmetry_space_group_name_H-M 'P 1'
_symmetry_Int_Tables_number 1
_symmetry_space_group_name_Hall 'P 1'
loop_
_atom_site_label
_atom_site_fract_x
_atom_site_fract_y
_atom_site_fract_z
Ca1 0.092 0.625 0.250
Ca2 0.875 0.908 0.750
Ta1 0.000 0.000 0.000
Ta2 0.750 0.250 0.500
Rb1 0.500 0.500 0.000
Ca3 0.375 0.342 0.750
Ca4 0.658 0.125 0.250
Rb2 0.250 0.750 0.500
# Fermi-level density of states	2.98	states/eV/f.u.
# relative energy among the computed polymorphs	313	meV per atom
# calculated volume	330.2	Å³ per cell
# DFT formation energy	1.43	eV per atom